DFT (PBE) results for a geometry-optimized MgNi2P structure.

## Properties
The total energy comes out at -4.91 eV per atom. The density of states at the Fermi level comes out at 1.0599 states/eV per atom. The value obtained for the total magnetic moment is 0.001 μB per atom. For the formation enthalpy at 0 K, the calculation gives -0.267 eV/atom.

Structure (CIF):
```
data_MgNi2P
_space_group_name_H-M_alt 'P 1'
_space_group_IT_number 1
_cell_length_a 3.800
_cell_length_b 3.800
_cell_length_c 3.372
_cell_angle_alpha 90.00
_cell_angle_beta 90.00
_cell_angle_gamma 90.00
loop_
_space_group_symop_operation_xyz
'x,y,z'
loop_
_atom_site_label
_atom_site_type_symbol
_atom_site_fract_x
_atom_site_fract_y
_atom_site_fract_z
Mg1 Mg 0.000 0.000 0.000
Ni1 Ni 0.000 0.500 0.500
Ni2 Ni 0.500 0.000 0.500
P1 P 0.500 0.500 0.000
```